(1)
# NbCoP PBE relaxed
data_NbCoP
_chemical_formula_sum 'Nb4 Co4 P4'
_symmetry_space_group_name_H-M 'P n m a'
_symmetry_Int_Tables_number 62
_cell_length_a 6.132
_cell_length_b 3.603
_cell_length_c 6.955
_cell_angle_alpha 90.00
_cell_angle_beta 90.00
_cell_angle_gamma 90.00
loop_
_symmetry_equiv_pos_as_xyz
'x,y,z'
'-x,-y,-z'
'-x+1/2,-y,z+1/2'
'x+1/2,y,-z+1/2'
'x+1/2,-y+1/2,-z+1/2'
'-x+1/2,y+1/2,z+1/2'
'-x,y+1/2,-z'
'x,-y+1/2,z'
loop_
_atom_site_label
_atom_site_fract_x
_atom_site_fract_y
_atom_site_fract_z
Nb1 0.026 0.250 0.173
Co1 0.145 0.250 0.561
P1 0.222 0.750 0.380
# Total magnetic moment in μB per formula unit: 0.02
# Uncorrected energy in eV per atom: -8.4224

---

(2)
# NaTbPO PBE relaxed
data_NaTbPO
_chemical_formula_sum 'Na2 Tb2 P2 O2'
_symmetry_space_group_name_H-M 'P m c 21'
_symmetry_Int_Tables_number 26
_cell_length_a 3.613
_cell_length_b 7.947
_cell_length_c 5.895
_cell_angle_alpha 90.00
_cell_angle_beta 90.00
_cell_angle_gamma 90.00
loop_
_symmetry_equiv_pos_as_xyz
'x,y,z'
'-x,-y,z+1/2'
'-x,y,z'
'x,-y,z+1/2'
loop_
_atom_site_label
_atom_site_fract_x
_atom_site_fract_y
_atom_site_fract_z
Na1 0.000 0.081 0.000
Tb1 0.500 0.317 0.396
P1 0.500 0.336 0.883
O1 0.000 0.177 0.365
# Total magnetic moment in μB per formula unit: 0.00
# Energy above the most stable polymorph in this dataset in eV per formula unit: 0.41
# Uncorrected energy in eV per atom: -5.6037